A relaxed structure of Pr2RuI. Source: Alexandria, functional PBE.

## Properties
**ρ**: 6.79 Mg/m³
**Distance to the lowest polymorph of the same formula**: 9 meV per atom
**D(E_F)**: 2.85 states/eV per cell
**Magnetic moment**: 0.0 Bohr magnetons per cell
**Formation energy (no corrections)**: -0.59 eV per atom

abc: 4.172 4.172 8.612
angles: 75.98 75.98 60.00
Fractional coordinates of all 4 atoms:
Pr 0.062 0.062 0.813
Pr 0.271 0.271 0.186
Ru 0.667 0.667 0.999
I 0.499 0.499 0.502

---

A relaxed structure of ScTc2Ir2. Source: Alexandria, functional PBE.

## Properties
**ρ**: 12.89 Mg/m³
**Distance to the lowest polymorph of the same formula**: 0 meV per atom
**D(E_F)**: 7.62 states/eV per cell
**Magnetic moment**: 0.5 Bohr magnetons per cell

abc: 7.621 7.621 2.773
angles: 90.00 90.00 90.00
Last column: magnetic moment on the atom in μB.
Fractional coordinates of all 10 atoms:
Sc 0.000 0.000 0.000  0.19
Sc 0.500 0.500 0.000  0.19
Ir 0.174 0.674 0.500  0.00
Ir 0.674 0.826 0.500  0.00
Ir 0.826 0.326 0.500  0.00
Ir 0.326 0.174 0.500  0.00
Tc 0.380 0.880 0.000  0.02
Tc 0.880 0.620 0.000  0.02
Tc 0.620 0.120 0.000  0.02
Tc 0.120 0.380 0.000  0.02

---

A relaxed structure of Ta2SbP. Source: Alexandria, functional PBE.

## Properties
**ρ**: 10.90 Mg/m³
**D(E_F)**: 1.96 states/eV per cell
**Magnetic moment**: 0.0 Bohr magnetons per cell
**Formation energy (no corrections)**: -0.01 eV per atom

abc: 8.672 8.672 8.672
angles: 21.74 21.74 21.74
Fractional coordinates of all 4 atoms:
Ta 0.005 0.005 0.005
Ta 0.757 0.757 0.757
Sb 0.250 0.250 0.250
P 0.488 0.488 0.488

---

A relaxed structure of Sm2YPu3Te6. Source: Alexandria, functional PBE.

## Properties
**ρ**: 8.53 Mg/m³
**D(E_F)**: 32.88 states/eV per cell
**Magnetic moment**: 17.9 Bohr magnetons per cell
**Formation energy (no corrections)**: -1.25 eV per atom

abc: 4.406 8.880 9.919
angles: 103.60 102.83 90.00
Last column: magnetic moment on the atom in μB.
Fractional coordinates of all 12 atoms:
Sm 0.833 0.665 0.666  -0.03
Sm 0.167 0.335 0.334  -0.03
Y 0.500 0.000 0.000  -0.05
Pu 0.500 0.500 0.000  -5.58
Pu 0.832 0.166 0.664  -5.57
Pu 0.168 0.834 0.336  -5.57
Te 0.335 0.919 0.670  0.04
Te 0.666 0.585 0.332  0.04
Te 0.665 0.081 0.330  0.04
Te 0.999 0.246 0.998  0.04
Te 0.001 0.754 0.002  0.04
Te 0.334 0.415 0.668  0.04

---

A relaxed structure of BiRuO2F. Source: Alexandria, functional PBE.

## Properties
**ρ**: 8.78 Mg/m³
**D(E_F)**: 4.35 states/eV per cell
**Magnetic moment**: 1.3 Bohr magnetons per cell
**Formation energy (no corrections)**: -0.66 eV per atom

abc: 4.024 4.024 4.218
angles: 90.00 90.00 90.00
Last column: magnetic moment on the atom in μB.
Fractional coordinates of all 5 atoms:
Ru 0.000 0.000 0.000  1.04
Bi 0.500 0.500 0.500  -0.02
O 0.000 0.500 0.000  0.10
O 0.500 0.000 0.000  0.10
F 0.000 0.000 0.500  0.00

---

A relaxed structure of Nd3Ga2Ag. Source: Alexandria, functional PBE.

## Properties
**ρ**: 7.27 Mg/m³
**Distance to the lowest polymorph of the same formula**: 12 meV per atom
**D(E_F)**: 14.26 states/eV per cell
**Magnetic moment**: 0.0 Bohr magnetons per cell

abc: 5.259 5.259 12.971
angles: 90.00 90.00 120.00
Fractional coordinates of all 12 atoms:
Nd 0.333 0.667 0.415
Nd 0.667 0.333 0.080
Nd 0.000 0.000 0.756
Nd 0.000 0.000 0.244
Nd 0.333 0.667 0.920
Nd 0.667 0.333 0.585
Ga 0.000 0.000 0.500
Ga 0.333 0.667 0.170
Ga 0.667 0.333 0.830
Ga 0.000 0.000 0.000
Ag 0.333 0.667 0.670
Ag 0.667 0.333 0.330

---

A relaxed structure of Ac2Nd3Te6. Source: Alexandria, functional PBE.

## Properties
**ρ**: 6.72 Mg/m³
**D(E_F)**: 5.73 states/eV per cell
**Magnetic moment**: 0.0 Bohr magnetons per cell
**Formation energy (no corrections)**: -1.50 eV per atom

abc: 7.877 7.855 8.062
angles: 80.59 70.97 59.91
Fractional coordinates of all 11 atoms:
Ac 0.165 0.669 0.500
Ac 0.835 0.331 0.500
Nd 0.000 0.000 0.000
Nd 0.332 0.336 0.000
Nd 0.668 0.664 0.000
Te 0.415 0.676 0.757
Te 0.737 0.000 0.758
Te 0.090 0.324 0.757
Te 0.263 0.000 0.242
Te 0.585 0.324 0.243
Te 0.910 0.676 0.243

---

A relaxed structure of CdPd. Source: Alexandria, functional PBE.

## Properties
**Final energy**: -3.21 eV per atom
**ρ**: 9.52 Mg/m³
**D(E_F)**: 21.55 states/eV per cell
**Magnetic moment**: 0.0 Bohr magnetons per cell

abc: 4.650 15.190 8.645
angles: 90.00 90.00 90.00
Fractional coordinates of all 32 atoms:
Cd 0.000 0.000 0.161
Cd 0.000 0.000 0.839
Cd 0.250 0.750 0.089
Cd 0.250 0.750 0.411
Cd 0.000 0.500 0.661
Cd 0.000 0.500 0.339
Cd 0.250 0.250 0.589
Cd 0.250 0.250 0.911
Cd 0.500 0.000 0.661
Cd 0.500 0.000 0.339
Cd 0.750 0.750 0.589
Cd 0.750 0.750 0.911
Cd 0.500 0.500 0.161
Cd 0.500 0.500 0.839
Cd 0.750 0.250 0.089
Cd 0.750 0.250 0.411
Pd 0.000 0.414 0.000
Pd 0.000 0.586 0.000
Pd 0.250 0.336 0.250
Pd 0.250 0.164 0.250
Pd 0.000 0.914 0.500
Pd 0.000 0.086 0.500
Pd 0.250 0.836 0.750
Pd 0.250 0.664 0.750
Pd 0.500 0.414 0.500
Pd 0.500 0.586 0.500
Pd 0.750 0.336 0.750
Pd 0.750 0.164 0.750
Pd 0.500 0.914 0.000
Pd 0.500 0.086 0.000
Pd 0.750 0.836 0.250
Pd 0.750 0.664 0.250